#P
Material: Dy2YTm
Method: DFT, GGA-PBE
State: optimized geometry

a b c (Å): 5.0038 5.0038 4.9984
angles (deg): 90.00 90.00 90.00
Closest atoms and distances in Å follow each position.
Space group P4/mmm (No. 123)
Asymmetric unit:
1 Dy 0.0000 0.5000 0.0000  4 Tm 3.54, 4 Y 3.54, 4 Dy 3.54
2 Y 0.0000 0.0000 0.5000  8 Dy 3.54, 4 Tm 3.54
3 Tm 0.5000 0.5000 0.5000  8 Dy 3.54, 4 Y 3.54



#Q
Material: Dy2YTm
Method: DFT, GGA-PBE
State: optimized geometry

a b c (Å): 7.9858 7.9858 7.9858
angles (deg): 90.00 90.00 90.00
Closest atoms and distances in Å follow each position.
Space group Fm-3m (No. 225)
Asymmetric unit:
1 Dy 0.2500 0.2500 0.2500  4 Tm 3.46, 4 Y 3.46
2 Y 0.0000 0.0000 0.0000  8 Dy 3.46
3 Tm 0.0000 0.0000 0.5000  8 Dy 3.46



Quick one: most stable of them? #P



#P
Material: Dy2YTm
Method: DFT, GGA-PBE
State: optimized geometry

a b c (Å): 12.2618 7.0740 6.1129
angles (deg): 90.00 109.48 90.00
Closest atoms and distances in Å follow each position.
Space group C2/c (No. 15)
Asymmetric unit:
1 Dy 0.2494 0.1248 0.2474  6 Dy 3.51-3.56, 3 Tm 3.52-3.54, 3 Y 3.53-3.55
2 Y 0.0000 0.3742 0.2500  4 Tm 3.53-3.55, 6 Dy 3.53-3.55, 2 Y 3.54
3 Tm 0.0000 0.1244 0.7500  6 Dy 3.52-3.54, 4 Y 3.53-3.55, 2 Tm 3.53



#Q
Material: Dy2YTm
Method: DFT, GGA-PBE
State: optimized geometry

a b c (Å): 3.9952 3.9952 7.9934
angles (deg): 90.00 90.00 90.00
Closest atoms and distances in Å follow each position.
Space group P4/mmm (No. 123)
Asymmetric unit:
1 Dy 0.0000 0.0000 0.2339  4 Tm 3.39, 4 Y 3.54, 1 Dy 3.74
2 Y 0.5000 0.5000 0.5000  8 Dy 3.54
3 Tm 0.5000 0.5000 0.0000  8 Dy 3.39



Quick one: most stable of them? #P



#P
Material: Dy2YTm
Method: DFT, GGA-PBE
State: optimized geometry

a b c (Å): 3.5376 3.5376 34.5537
angles (deg): 90.00 90.00 120.00
Closest atoms and distances in Å follow each position.
Space group R-3m (No. 166, hexagonal axes)
Asymmetric unit:
1 Dy 0.0000 0.0000 0.2492  3 Tm 3.51, 6 Dy 3.54, 3 Y 3.55
2 Y 0.0000 0.0000 0.0000  6 Y 3.54, 6 Dy 3.55
3 Tm 0.0000 0.0000 0.5000  6 Dy 3.51, 6 Tm 3.54



#Q
Material: Dy2YTm
Method: DFT, GGA-PBE
State: optimized geometry

a b c (Å): 3.5656 3.5656 34.1808
angles (deg): 90.00 90.00 120.00
Closest atoms and distances in Å follow each position.
Space group R3m (No. 160, hexagonal axes)
Asymmetric unit:
1 Dy 0.0000 0.0000 0.0000  3 Tm 3.50, 3 Y 3.54, 6 Dy 3.57
2 Dy 0.0000 0.0000 0.1678  3 Tm 3.50, 3 Y 3.52, 6 Dy 3.57
3 Y 0.0000 0.0000 0.4177  6 Dy 3.52-3.54, 6 Y 3.57
4 Tm 0.0000 0.0000 0.5838  6 Dy 3.50, 6 Tm 3.57



Quick one: most stable of them? #Q



#P
Material: DyY8Tm2
Method: DFT, GGA-PBE
State: optimized geometry

a b c (Å): 9.0300 16.2797 5.8823
angles (deg): 90.00 124.49 90.00
Closest atoms and distances in Å follow each position.
Space group C2/m (No. 12)
Asymmetric unit:
1 Dy 0.0000 0.0000 0.0000  4 Y 3.34-3.36
2 Y 0.0000 0.2052 0.0000  1 Dy 3.34, 2 Tm 3.39, 6 Y 3.56-3.67
3 Y 0.0681 0.5000 0.7920  3 Y 2.92-3.22
4 Y 0.2185 0.1203 0.6822  5 Y 3.22-3.60, 2 Tm 3.47-3.48
5 Tm 0.0000 0.3090 0.5000  10 Y 3.39-3.75



#Q
Material: DyY8Tm2
Method: DFT, GGA-PBE
State: optimized geometry

a b c (Å): 14.2750 6.5780 9.2608
angles (deg): 90.00 123.30 90.00
Closest atoms and distances in Å follow each position.
Space group C2/m (No. 12)
Asymmetric unit:
1 Dy 0.0000 0.0000 0.0000  2 Y 3.17
2 Y 0.1102 0.2446 0.4449  6 Y 3.22-3.59, 1 Tm 3.33
3 Y 0.1247 0.0000 0.8030  3 Y 3.09-3.26, 1 Dy 3.17, 3 Tm 3.17-3.38
4 Y 0.1409 0.5000 0.1395  2 Y 3.09-3.38
5 Tm 0.1778 0.5000 0.8004  6 Y 3.17-3.46



Quick one: most stable of them? #P



#P
Material: Dy4YTm6
Method: DFT, GGA-PBE
State: optimized geometry

a b c (Å): 7.6116 7.6116 12.8507
angles (deg): 90.00 90.00 90.00
Closest atoms and distances in Å follow each position.
Space group I-42m (No. 121)
Asymmetric unit:
1 Dy 0.1690 0.1690 0.4244  3 Tm 2.99-3.21, 2 Dy 3.22
2 Y 0.0000 0.0000 0.0000  8 Tm 3.57-3.81, 4 Dy 3.69
3 Tm 0.0000 0.5000 0.0000  4 Dy 2.99
4 Tm 0.2484 0.2484 0.1835  4 Dy 3.21-3.54, 1 Y 3.57, 2 Tm 3.58



#Q
Material: Dy4YTm6
Method: DFT, GGA-PBE
State: optimized geometry

a b c (Å): 5.5784 9.6073 25.4358
angles (deg): 90.00 90.00 90.00
Closest atoms and distances in Å follow each position.
Space group Cmcm (No. 63)
Asymmetric unit:
1 Dy 0.0000 0.0048 0.1217  5 Tm 3.10-3.26
2 Dy 0.0000 0.3348 0.0420  8 Tm 3.38-3.71, 1 Dy 3.76
3 Y 0.0000 0.3289 0.7500  3 Tm 3.21
4 Tm 0.0000 0.0000 0.0000  8 Dy 3.10-3.39
5 Tm 0.0000 0.0048 0.2500  3 Y 3.21, 2 Dy 3.26
6 Tm 0.0000 0.3295 0.6038  6 Dy 3.24-3.59
7 Tm 0.0000 0.3378 0.1816  7 Tm 3.48-3.78, 4 Dy 3.54-3.56, 3 Y 3.64-3.66



Quick one: most stable of them? #Q



#P
Material: DyY2Tm6
Method: DFT, GGA-PBE
State: optimized geometry

a b c (Å): 10.5347 10.5347 4.9734
angles (deg): 90.00 90.00 90.00
Closest atoms and distances in Å follow each position.
Space group P4_2/mnm (No. 136)
Asymmetric unit:
1 Dy 0.0000 0.0000 0.0000  4 Y 3.51, 8 Tm 3.52
2 Y 0.1667 0.1667 0.5000  10 Tm 3.51-3.52, 2 Dy 3.51
3 Tm 0.0003 0.3345 0.0000  8 Tm 3.49-3.52, 3 Y 3.51-3.52, 1 Dy 3.52
4 Tm 0.1671 0.8329 0.5000  6 Tm 3.50-3.52, 4 Y 3.51-3.52, 2 Dy 3.52



#Q
Material: DyY2Tm6
Method: DFT, GGA-PBE
State: optimized geometry

a b c (Å): 3.5550 3.5550 34.0946
angles (deg): 90.00 90.00 120.00
Closest atoms and distances in Å follow each position.
Space group P-6m2 (No. 187)
Asymmetric unit:
1 Dy 0.0000 0.0000 0.0000  6 Y 3.53, 6 Dy 3.56
2 Y 0.3333 0.6667 0.0841  3 Tm 3.49, 3 Dy 3.53, 6 Y 3.56
3 Tm 0.0000 0.0000 0.1668  9 Tm 3.46-3.56, 3 Y 3.49
4 Tm 0.0000 0.0000 0.3282  9 Tm 3.40-3.56
5 Tm 0.3333 0.6667 0.2487  12 Tm 3.40-3.56



Quick one: most stable of them? #P



#P
Material: Dy2YTm3
Method: DFT, GGA-PBE
State: optimized geometry

a b c (Å): 17.2495 7.0421 6.0904
angles (deg): 90.00 90.05 90.00
Closest atoms and distances in Å follow each position.
Space group C2/c (No. 15)
Asymmetric unit:
1 Dy 0.1667 0.1246 0.4178  8 Tm 3.51-3.53, 3 Dy 3.51-3.52, 1 Y 3.52
2 Y 0.0000 0.3741 0.2500  8 Tm 3.51-3.53, 2 Dy 3.52, 2 Y 3.52
3 Tm 0.0000 0.1244 0.7500  4 Y 3.51-3.53, 4 Tm 3.51-3.53, 4 Dy 3.52
4 Tm 0.1670 0.3748 0.9161  6 Dy 3.51-3.53, 4 Tm 3.51-3.53, 2 Y 3.53



#Q
Material: Dy2YTm3
Method: DFT, GGA-PBE
State: optimized geometry

a b c (Å): 21.7515 3.6030 11.1395
angles (deg): 90.00 120.80 90.00
Closest atoms and distances in Å follow each position.
Space group C2/m (No. 12)
Asymmetric unit:
1 Dy 0.0557 0.0000 0.1832  3 Tm 3.46-3.47, 4 Y 3.51-3.61, 5 Dy 3.52-3.61
2 Dy 0.2231 0.5000 0.3475  5 Tm 3.48-3.59, 6 Dy 3.48-3.61, 1 Y 3.48
3 Y 0.1115 0.5000 0.9853  5 Tm 3.44-3.61, 5 Dy 3.48-3.61, 2 Y 3.60
4 Tm 0.0553 0.0000 0.6780  9 Tm 3.43-3.60, 1 Dy 3.47, 2 Y 3.49
5 Tm 0.1105 0.5000 0.4870  7 Tm 3.44-3.60, 5 Dy 3.46-3.59
6 Tm 0.2211 0.5000 0.8467  3 Y 3.44-3.61, 7 Tm 3.46-3.60, 2 Dy 3.48



Quick one: most stable of them? #Q



#P
Material: DyY4Tm7
Method: DFT, GGA-PBE
State: optimized geometry

a b c (Å): 11.9705 5.8045 12.5984
angles (deg): 90.00 118.16 90.00
Closest atoms and distances in Å follow each position.
Space group C2/m (No. 12)
Asymmetric unit:
1 Dy 0.0000 0.0000 0.0000  4 Tm 2.90-3.10
2 Y 0.0620 0.5000 0.3207  4 Tm 3.25-3.53, 2 Y 3.60
3 Y 0.1400 0.0000 0.7755  7 Tm 3.33-3.58, 2 Y 3.60
4 Tm 0.0000 0.5000 0.0000  2 Dy 2.90, 2 Tm 3.11
5 Tm 0.1344 0.0000 0.5007  4 Tm 3.21-3.53, 5 Y 3.25-3.53
6 Tm 0.2128 0.5000 0.9244  1 Dy 3.10, 4 Tm 3.11-3.35, 4 Y 3.28-3.34
7 Tm 0.2432 0.5000 0.6799  4 Tm 3.24-3.53, 2 Y 3.58



#Q
Material: DyY4Tm7
Method: DFT, GGA-PBE
State: optimized geometry

a b c (Å): 6.7244 6.9191 8.6174
angles (deg): 79.07 76.55 75.97
Closest atoms and distances in Å follow each position.
Space group P-1 (No. 2)
Asymmetric unit:
1 Dy 0.0000 0.0000 0.0000  6 Tm 3.46-3.60, 4 Y 3.57-3.77
2 Y 0.1869 0.6088 0.3326  8 Tm 3.44-3.84, 4 Y 3.52-3.76, 1 Dy 3.77
3 Y 0.3484 0.2307 0.6803  7 Tm 3.32-3.66, 2 Y 3.52-3.53, 1 Dy 3.57
4 Tm 0.0000 0.5000 0.0000  4 Tm 3.30-3.50, 2 Dy 3.46, 4 Y 3.65-3.66
5 Tm 0.1777 0.1081 0.3665  4 Tm 3.28-3.46, 5 Y 3.44-3.63
6 Tm 0.3185 0.7373 0.6758  4 Tm 3.21-3.50, 5 Y 3.36-3.59
7 Tm 0.4780 0.2484 0.0256  5 Tm 3.21-3.50, 2 Y 3.32-3.50, 1 Dy 3.49



Quick one: most stable of them? #Q



#P
Material: Dy2YTm6
Method: DFT, GGA-PBE
State: optimized geometry

a b c (Å): 12.6291 14.0510 6.4721
angles (deg): 90.00 104.03 90.00
Closest atoms and distances in Å follow each position.
Space group C2/c (No. 15)
Asymmetric unit:
1 Dy 0.1418 0.0238 0.3700  3 Dy 3.30-3.54, 7 Tm 3.32-3.58
2 Y 0.0000 0.3810 0.2500  8 Tm 3.27-3.65
3 Tm 0.0372 0.1854 0.0032  5 Tm 3.18-3.54, 1 Y 3.27, 3 Dy 3.32-3.44
4 Tm 0.1344 0.4108 0.8151  3 Tm 3.29-3.38, 3 Y 3.36-3.66, 2 Dy 3.45
5 Tm 0.2385 0.2003 0.7285  7 Tm 3.34-3.73, 2 Dy 3.41-3.58, 1 Y 3.47



#Q
Material: Dy2YTm6
Method: DFT, GGA-PBE
State: optimized geometry

a b c (Å): 3.5579 3.5579 25.6537
angles (deg): 90.00 90.00 120.00
Closest atoms and distances in Å follow each position.
Space group P-6m2 (No. 187)
Asymmetric unit:
1 Dy 0.0000 0.0000 0.1728  6 Tm 3.45-3.48, 6 Dy 3.56
2 Y 0.6667 0.3333 0.5000  6 Tm 3.49, 6 Y 3.56
3 Tm 0.0000 0.0000 0.3898  9 Tm 3.44-3.56, 3 Y 3.49
4 Tm 0.6667 0.3333 0.0649  7 Tm 3.33-3.56, 3 Dy 3.45
5 Tm 0.6667 0.3333 0.2824  9 Tm 3.44-3.56, 3 Dy 3.48



Quick one: most stable of them? #Q



#P
Material: Dy4Y5Tm3
Method: DFT, GGA-PBE
State: optimized geometry

a b c (Å): 16.0902 5.8384 9.2200
angles (deg): 90.00 116.56 90.00
Closest atoms and distances in Å follow each position.
Space group C2/m (No. 12)
Asymmetric unit:
1 Dy 0.0808 0.0000 0.4405  2 Dy 3.24-3.63, 1 Tm 3.41, 3 Y 3.42-3.55
2 Dy 0.2155 0.0000 0.8788  3 Tm 3.29-3.48, 3 Dy 3.54-3.63, 3 Y 3.60-3.61
3 Y 0.0000 0.0000 0.0000  4 Tm 2.92-3.08
4 Y 0.0745 0.5000 0.7048  2 Tm 3.25-3.43, 1 Y 3.45, 2 Dy 3.60
5 Y 0.1730 0.5000 0.3848  4 Tm 3.18-3.41, 3 Dy 3.42-3.55
6 Tm 0.0000 0.5000 0.0000  2 Y 2.92
7 Tm 0.2096 0.0000 0.2310  5 Y 3.08-3.41, 2 Dy 3.29-3.41



#Q
Material: Dy4Y5Tm3
Method: DFT, GGA-PBE
State: optimized geometry

a b c (Å): 6.1285 7.0876 8.6671
angles (deg): 89.97 89.96 89.93
Closest atoms and distances in Å follow each position.
Space group P-1 (No. 2)
Asymmetric unit:
1 Dy 0.1662 0.0003 0.3353  4 Dy 3.51-3.54, 3 Tm 3.53-3.54, 5 Y 3.54-3.56
2 Dy 0.3340 0.7501 0.6671  5 Y 3.52-3.56, 3 Dy 3.53-3.54, 4 Tm 3.53-3.55
3 Y 0.0007 0.2504 0.0002  3 Tm 3.53-3.54, 6 Y 3.54-3.55, 3 Dy 3.54-3.56
4 Y 0.1688 0.5003 0.3341  5 Dy 3.52-3.56, 4 Tm 3.53-3.55, 3 Y 3.54-3.55
5 Y 0.5000 0.0000 0.0000  4 Tm 3.53-3.54, 4 Y 3.54-3.55, 4 Dy 3.54-3.55
6 Tm 0.3334 0.2495 0.6672  6 Dy 3.53-3.55, 5 Y 3.53-3.55, 1 Tm 3.54
7 Tm 0.5000 0.5000 0.0000  8 Y 3.53-3.54, 2 Dy 3.53, 2 Tm 3.54



Quick one: most stable of them? #Q



#P
Material: Dy6Y2Tm3
Method: DFT, GGA-PBE
State: optimized geometry

a b c (Å): 4.6873 4.6873 33.1905
angles (deg): 90.00 90.00 90.00
Closest atoms and distances in Å follow each position.
Space group I4/mmm (No. 139)
Asymmetric unit:
1 Dy 0.0000 0.0000 0.1979  5 Tm 3.31-3.41, 4 Dy 3.43
2 Dy 0.0000 0.5000 0.1225  6 Dy 3.31-3.43, 2 Y 3.45, 2 Tm 3.47
3 Y 0.0000 0.0000 0.0462  1 Y 3.06
4 Tm 0.0000 0.0000 0.3005  9 Dy 3.31-3.47
5 Tm 0.0000 0.0000 0.5000  8 Y 3.65



#Q
Material: Dy6Y2Tm3
Method: DFT, GGA-PBE
State: optimized geometry

a b c (Å): 3.5356 3.5356 94.8994
angles (deg): 90.00 90.00 120.00
Closest atoms and distances in Å follow each position.
Space group R-3m (No. 166, hexagonal axes)
Asymmetric unit:
1 Dy 0.0000 0.0000 0.0902  3 Tm 3.51, 6 Dy 3.54, 3 Y 3.55
2 Dy 0.0000 0.0000 0.1819  9 Dy 3.53-3.54, 3 Y 3.55
3 Dy 0.0000 0.0000 0.3634  6 Tm 3.51, 6 Dy 3.54
4 Y 0.0000 0.0000 0.4542  6 Y 3.54, 6 Dy 3.55
5 Tm 0.0000 0.0000 0.0000  6 Dy 3.51, 6 Tm 3.54
6 Tm 0.0000 0.0000 0.2732  6 Dy 3.51, 6 Tm 3.54



Quick one: most stable of them? #Q